Computed, not measured: Gd2AlGe6 after structural relaxation at the PBE level of DFT.

Results
Calculated density in g cm⁻³: 6.88
DOS(E_F) in states/eV per cell: 6.9
Energy relative to the elements in eV per atom: -0.430
E_tot in Ha/atom: -0.259

abc: 6.0262 6.0262 10.5715
angles: 98.29 98.29 91.80
With the nearest neighbours (Å) after each atom.
Sites, in units of the cell vectors:
Gd  0.1589  0.6640  0.6613  10 Ge 3.07-3.40, 2 Al 3.32-3.35
Gd  0.3360  0.8411  0.3387  10 Ge 3.07-3.40, 2 Al 3.32-3.35
Gd  0.6640  0.1589  0.6613  10 Ge 3.07-3.40, 2 Al 3.32-3.35
Gd  0.8411  0.3360  0.3387  10 Ge 3.07-3.40, 2 Al 3.32-3.35
Al  0.1976  0.1976  0.7993  5 Ge 2.50-2.61
Al  0.8024  0.8024  0.2007  5 Ge 2.50-2.61
Ge  0.0667  0.4963  0.1179  3 Ge 2.51-2.57, 1 Al 2.61
Ge  0.0701  0.0701  0.1178  3 Ge 2.52-2.57, 1 Al 2.57
Ge  0.1488  0.1488  0.5574  1 Al 2.50, 2 Ge 2.54-2.63
Ge  0.3653  0.3653  0.4099  2 Ge 2.63-2.64
Ge  0.4922  0.4922  0.1182  3 Ge 2.53-2.56, 1 Al 2.57
Ge  0.4963  0.0667  0.1179  3 Ge 2.51-2.57, 1 Al 2.61
Ge  0.5037  0.9333  0.8821  3 Ge 2.51-2.57, 1 Al 2.61
Ge  0.5078  0.5078  0.8818  3 Ge 2.53-2.56, 1 Al 2.57
Ge  0.6347  0.6347  0.5901  2 Ge 2.63-2.64
Ge  0.8512  0.8512  0.4426  1 Al 2.50, 2 Ge 2.54-2.63
Ge  0.9299  0.9299  0.8822  3 Ge 2.52-2.57, 1 Al 2.57
Ge  0.9333  0.5037  0.8821  3 Ge 2.51-2.57, 1 Al 2.61